No. 1
First-principles (GGA-PBE) data for an optimized crystal structure of YCoBr2, as listed in Alexandria.

Cell lengths 6.881, 6.881, 6.881 Å; angles 90.00, 90.00, 90.00 degrees
Space group Fm-3m (No. 225)
Symmetry-distinct sites (fractional):
Y 0.000 0.000 0.000 (multiplicity 4)
Co 0.000 0.000 0.500 (multiplicity 4)
Br 0.250 0.250 0.250 (multiplicity 8)



No. 2
First-principles (GGA-PBE) data for an optimized crystal structure of HoTaOs2, as listed in Alexandria.

Summary:
Energy of formation from the pure elements, meV per atom: -317

Cell lengths 3.210, 3.210, 6.933 Å; angles 90.00, 90.00, 90.00 degrees
Space group P4/mmm (No. 123)
Symmetry-distinct sites (fractional):
Ho 0.000 0.000 0.000 (multiplicity 1)
Ta 0.000 0.000 0.500 (multiplicity 1)
Os 0.500 0.500 0.280 (multiplicity 2)



no.,polymorph energy (0 for the lowest one) (meV per atom)
1,598
2,0